Tb4ThMg: optimized geometry, PBE.

Summary:
* formation enthalpy at 0 K: 0.00 eV per atom
* energy above the lowest structure with this stoichiometry: 0.0 meV/atom
* magnetization: 0.0 μB per cell
* electronic total energy: -27.5 eV/cell

a = 3.592 Å, b = 3.592 Å, c = 14.276 Å
α = 90.00°, β = 90.00°, γ = 90.00°
Space group P4/mmm (No. 123)
Symmetry-distinct sites (fractional):
Tb: 0.000 0.000 0.151 x2
Tb: 0.500 0.500 0.328 x2
Th: 0.000 0.000 0.500 x1
Mg: 0.500 0.500 0.000 x1